Record 1
12
Lattice="9.7603 -2.2318 0.0000 9.7603 2.2318 0.0000 -2.0887 0.0000 8.7526" Properties=species:S:1:pos:R:3 comment="Nd6Bi3TeAs2 GGA-PBE optimized geometry" formation_energy_uncorrected_ev_per_fu=-14.6 magnetic_moment_mub_per_fu=0.000 total_energy_ev_per_atom=-5.611 dos_ef_per_ev_atom=0.194 pbc="T T T"
Nd -0.3724 0.0000 2.2406
Nd 5.5070 0.0000 3.7510
Nd 4.5660 0.0000 7.8642
Nd 12.8658 0.0000 0.8884
Nd 11.9248 0.0000 5.0016
Nd 17.8042 0.0000 6.5121
Bi 1.4383 0.0000 7.2875
Bi 8.7159 0.0000 4.3763
Bi 15.9934 0.0000 1.4651
Te 9.7603 0.0000 0.0000
As 2.5845 0.0000 2.9273
As 14.8473 0.0000 5.8253

---

Record 2
4
Lattice="4.0671 0.0000 0.0000 0.0000 4.2638 0.0000 -0.0626 0.0000 7.6494" Properties=species:S:1:pos:R:3 comment="BaTaTe2 GGA-PBE optimized geometry" formation_energy_uncorrected_ev_per_fu=-1.0 magnetic_moment_mub_per_fu=1.505 total_energy_ev_per_atom=-5.277 dos_ef_per_ev_atom=1.018 pbc="T T T"
Ba 0.0000 0.0000 0.0000
Ta 2.0022 0.0000 3.8247
Te 1.9661 2.1319 5.6471
Te 2.0383 2.1319 2.0023

---

Record 3
6
Lattice="-2.4174 2.4174 8.9434 2.4174 -2.4174 8.9434 2.4174 2.4174 -8.9434" Properties=species:S:1:pos:R:3 comment="AcErPb GGA-PBE optimized geometry" magnetic_moment_mub_per_fu=0.772 total_energy_ev_per_atom=-4.578 formation_energy_ev_per_fu=-1.353 dos_ef_per_ev_atom=0.912 pbc="T T T"
Ac 0.0000 0.0000 3.1440
Ac 0.0000 0.0000 14.7428
Er 2.4174 0.0000 0.0000
Er 0.0000 2.4174 0.0000
Pb 0.0000 0.0000 6.7212
Pb 0.0000 0.0000 11.1656

---

Record 4
4
Lattice="3.6403 0.0000 0.0000 0.0000 5.6378 0.0000 0.0000 0.0000 6.3057" Properties=species:S:1:pos:R:3 comment="Y3Ho GGA-PBE optimized geometry" magnetic_moment_mub_per_fu=0.000 total_energy_ev_per_atom=-5.993 formation_energy_ev_per_fu=-0.001 dos_ef_per_ev_atom=1.750 pbc="T T T"
Y 0.0000 0.0000 0.0000
Y 0.0000 2.8189 2.1091
Y 1.8202 2.8189 5.2510
Ho 1.8202 0.0000 3.1551

---

Record 5
5
Lattice="3.8571 0.0000 0.0000 0.0000 3.8571 0.0000 0.0000 0.0000 4.0244" Properties=species:S:1:pos:R:3 comment="HfPdNO2 GGA-PBE optimized geometry" formation_energy_uncorrected_ev_per_fu=-0.9 magnetic_moment_mub_per_fu=0.000 total_energy_ev_per_atom=-6.867 dos_ef_per_ev_atom=0.177 pbc="T T T"
Hf 0.0000 0.0000 0.0000
Pd 1.9286 1.9286 2.0122
N 1.9286 1.9286 0.0000
O 0.0000 1.9286 2.0122
O 1.9286 0.0000 2.0122

---

Record 6
9
Lattice="7.2549 0.0000 0.0000 -3.6274 6.2829 0.0000 0.0000 0.0000 2.8460" Properties=species:S:1:pos:R:3 comment="AlTc2 GGA-PBE optimized geometry" magnetic_moment_mub_per_fu=0.000 total_energy_ev_per_atom=-8.326 formation_energy_ev_per_fu=-0.502 dos_ef_per_ev_atom=0.621 pbc="T T T"
Al 0.0000 0.0000 0.0000
Al 0.0000 4.1886 1.4230
Al 3.6274 2.0943 1.4230
Tc -1.0970 1.9000 1.4230
Tc -2.2921 3.9701 0.0000
Tc 2.1939 0.0000 1.4230
Tc 1.3353 2.3128 0.0000
Tc 4.5843 0.0000 0.0000
Tc 2.5305 4.3829 1.4230